Below is a relaxed ReTc2B2 crystal, with properties calculated at the PBE level.

Cell and atoms, written as POSCAR:
```
ReTc2B2
1.0
6.5753 0.0000 0.0000
0.0000 6.5753 0.0000
0.0000 0.0000 2.7192
B Re Tc
4 2 4
Cartesian
4.3351 5.5278 1.3596 B
1.0475 4.3351 1.3596 B
2.2401 1.0475 1.3596 B
5.5278 2.2401 1.3596 B
0.0000 0.0000 0.0000 Re
3.2876 3.2876 0.0000 Re
5.6726 4.1903 0.0000 Tc
4.1903 0.9027 0.0000 Tc
0.9027 2.3849 0.0000 Tc
2.3849 5.6726 0.0000 Tc
```

## Properties
polymorph energy (0 for the lowest one): 0.721 eV/atom
DFT formation energy: 261 kJ/mol of formula units
total magnetic moment: 0.00 μB/f.u.